# 1
Here is an optimized crystal structure of ZnMo from Alexandria via LeMat-Bulk. Energies are from PBE-GGA.

```
data_ZnMo
_symmetry_space_group_name_H-M 'C 1 2/m 1'
_symmetry_Int_Tables_number 12
_symmetry_space_group_name_Hall '-C 2y'
_cell_length_a 9.252
_cell_length_b 2.641
_cell_length_c 4.976
_cell_angle_alpha 90.00
_cell_angle_beta 95.09
_cell_angle_gamma 90.00
loop_
_atom_site_label
_atom_site_fract_x
_atom_site_fract_y
_atom_site_fract_z
Zn1 0.125 0.000 0.386
Mo1 0.121 0.500 0.885
```

E above lowest polymorph: 0.0759 eV/atom
N(E_F): 0.456 states/eV per atom
Formation enthalpy at 0 K: 0.275 eV/f.u.

# 2
Here is an optimized crystal structure of PrAl3CuAg from Alexandria via LeMat-Bulk. Energies are from PBE-GGA.

```
data_PrAl3CuAg
_symmetry_space_group_name_H-M 'C m c m'
_symmetry_Int_Tables_number 63
_symmetry_space_group_name_Hall '-C 2c 2'
_cell_length_a 6.115
_cell_length_b 12.639
_cell_length_c 6.121
_cell_angle_alpha 90.00
_cell_angle_beta 90.00
_cell_angle_gamma 90.00
loop_
_atom_site_label
_atom_site_fract_x
_atom_site_fract_y
_atom_site_fract_z
Pr1 0.000 0.212 0.250
Al1 0.000 0.366 0.750
Al2 0.216 0.000 0.000
Cu1 0.000 0.431 0.250
Ag1 0.000 0.152 0.750
```

N(E_F): 0.476 states/eV per atom
Formation enthalpy at 0 K: -1.043 eV/f.u.

# 3
Here is an optimized crystal structure of Be2CdBr from Alexandria via LeMat-Bulk. Energies are from PBE-GGA.

```
data_Be2CdBr
_symmetry_space_group_name_H-M 'F -4 3 m'
_symmetry_Int_Tables_number 216
_symmetry_space_group_name_Hall 'F -4 2 3'
_cell_length_a 6.831
_cell_length_b 6.831
_cell_length_c 6.831
_cell_angle_alpha 90.00
_cell_angle_beta 90.00
_cell_angle_gamma 90.00
loop_
_atom_site_label
_atom_site_fract_x
_atom_site_fract_y
_atom_site_fract_z
Be1 0.000 0.000 0.000
Be2 0.250 0.250 0.250
Cd1 0.250 0.250 0.750
Br1 0.000 0.000 0.500
```

Energy relative to the elements, uncorrected: 4.5 eV/f.u.
E above lowest polymorph: 0.8372 eV/atom
N(E_F): 0.925 states/eV per atom

# 4
Here is an optimized crystal structure of KAcPb2Br8 from Alexandria via LeMat-Bulk. Energies are from PBE-GGA.

```
data_KAcPb2Br8
_symmetry_space_group_name_H-M 'P 1 2/m 1'
_symmetry_Int_Tables_number 10
_symmetry_space_group_name_Hall '-P 2y'
_cell_length_a 7.036
_cell_length_b 9.427
_cell_length_c 7.371
_cell_angle_alpha 90.00
_cell_angle_beta 90.72
_cell_angle_gamma 90.00
loop_
_atom_site_label
_atom_site_fract_x
_atom_site_fract_y
_atom_site_fract_z
K1 0.000 0.000 0.000
Ac1 0.000 0.500 0.000
Pb1 0.500 0.242 0.500
Br1 0.248 0.266 0.159
Br2 0.256 0.500 0.664
Br3 0.272 0.000 0.639
```

Energy relative to the elements, uncorrected: -16.9 eV/f.u.
N(E_F): 0.000 states/eV per atom

# 5
Here is an optimized crystal structure of SmYCu4 from Alexandria via LeMat-Bulk. Energies are from PBE-GGA.

```
data_SmYCu4
_symmetry_space_group_name_H-M 'I m m 2'
_symmetry_Int_Tables_number 44
_symmetry_space_group_name_Hall 'I 2 -2'
_cell_length_a 4.319
_cell_length_b 6.972
_cell_length_c 7.366
_cell_angle_alpha 90.00
_cell_angle_beta 90.00
_cell_angle_gamma 90.00
loop_
_atom_site_label
_atom_site_fract_x
_atom_site_fract_y
_atom_site_fract_z
Sm1 0.000 0.000 0.000
Y1 0.000 0.500 0.923
Cu1 0.000 0.200 0.625
Cu2 0.000 0.296 0.294
```

E above lowest polymorph: 0.0000 eV/atom
N(E_F): 0.568 states/eV per atom
Formation enthalpy at 0 K: -1.501 eV/f.u.

# 6
Here is an optimized crystal structure of La2Pr6SmTh from Alexandria via LeMat-Bulk. Energies are from PBE-GGA.

```
data_La2Pr6SmTh
_symmetry_space_group_name_H-M 'C 1 2/c 1'
_symmetry_Int_Tables_number 15
_symmetry_space_group_name_Hall '-C 2yc'
_cell_length_a 9.347
_cell_length_b 15.263
_cell_length_c 10.241
_cell_angle_alpha 90.00
_cell_angle_beta 100.78
_cell_angle_gamma 90.00
loop_
_atom_site_label
_atom_site_fract_x
_atom_site_fract_y
_atom_site_fract_z
La1 0.233 0.045 0.044
Pr1 0.074 0.185 0.444
Pr2 0.096 0.398 0.619
Pr3 0.201 0.216 0.811
Sm1 0.000 0.405 0.250
Th1 0.000 0.012 0.750
```

N(E_F): 1.520 states/eV per atom
Formation enthalpy at 0 K: 1.345 eV/f.u.

# 7
Here is an optimized crystal structure of Pr3CdGa from Alexandria via LeMat-Bulk. Energies are from PBE-GGA.

```
data_Pr3CdGa
_symmetry_space_group_name_H-M 'P 1 21/c 1'
_symmetry_Int_Tables_number 14
_symmetry_space_group_name_Hall '-P 2ybc'
_cell_length_a 9.852
_cell_length_b 6.063
_cell_length_c 11.538
_cell_angle_alpha 90.00
_cell_angle_beta 121.53
_cell_angle_gamma 90.00
loop_
_atom_site_label
_atom_site_fract_x
_atom_site_fract_y
_atom_site_fract_z
Pr1 0.003 0.050 0.350
Pr2 0.334 0.161 0.939
Pr3 0.398 0.594 0.162
Cd1 0.158 0.085 0.119
Ga1 0.313 0.667 0.857
```

E above lowest polymorph: 0.0659 eV/atom
N(E_F): 1.180 states/eV per atom
Formation enthalpy at 0 K: -1.240 eV/f.u.

# 8
Here is an optimized crystal structure of MgBeV from Alexandria via LeMat-Bulk. Energies are from PBE-GGA.

```
data_MgBeV
_symmetry_space_group_name_H-M 'P 4/n m m'
_symmetry_Int_Tables_number 129
_cell_length_a 2.662
_cell_length_b 2.662
_cell_length_c 11.570
_cell_angle_alpha 90.00
_cell_angle_beta 90.00
_cell_angle_gamma 90.00
loop_
_symmetry_equiv_pos_as_xyz
'x,y,z'
'-x,-y,-z'
'-y+1/2,x,z'
'y+1/2,-x,-z'
'-x+1/2,-y+1/2,z'
'x+1/2,y+1/2,-z'
'y,-x+1/2,z'
'-y,x+1/2,-z'
'x+1/2,-y,-z'
'-x+1/2,y,z'
'-y,-x,-z'
'y,x,z'
'-x,y+1/2,-z'
'x,-y+1/2,z'
'y+1/2,x+1/2,-z'
'-y+1/2,-x+1/2,z'
loop_
_atom_site_label
_atom_site_fract_x
_atom_site_fract_y
_atom_site_fract_z
Mg1 0.250 0.250 0.114
Be1 0.250 0.250 0.452
V1 0.250 0.250 0.690
```

E above lowest polymorph: 0.0575 eV/atom
N(E_F): 0.406 states/eV per atom
Formation enthalpy at 0 K: 0.437 eV/f.u.

# 9
Here is an optimized crystal structure of ZrCuNi2 from Alexandria via LeMat-Bulk. Energies are from PBE-GGA.

```
data_ZrCuNi2
_symmetry_space_group_name_H-M 'F -4 3 m'
_symmetry_Int_Tables_number 216
_symmetry_space_group_name_Hall 'F -4 2 3'
_cell_length_a 6.072
_cell_length_b 6.072
_cell_length_c 6.072
_cell_angle_alpha 90.00
_cell_angle_beta 90.00
_cell_angle_gamma 90.00
loop_
_atom_site_label
_atom_site_fract_x
_atom_site_fract_y
_atom_site_fract_z
Zr1 0.000 0.000 0.000
Cu1 0.250 0.250 0.750
Ni1 0.000 0.000 0.500
Ni2 0.250 0.250 0.250
```

N(E_F): 1.053 states/eV per atom
Formation enthalpy at 0 K: -0.647 eV/f.u.

# 10
Here is an optimized crystal structure of ZnOsBr2 from Alexandria via LeMat-Bulk. Energies are from PBE-GGA.

```
data_ZnOsBr2
_symmetry_space_group_name_H-M 'I m m 2'
_symmetry_Int_Tables_number 44
_symmetry_space_group_name_Hall 'I 2 -2'
_cell_length_a 3.042
_cell_length_b 4.749
_cell_length_c 12.145
_cell_angle_alpha 90.00
_cell_angle_beta 90.00
_cell_angle_gamma 90.00
loop_
_atom_site_label
_atom_site_fract_x
_atom_site_fract_y
_atom_site_fract_z
Zn1 0.000 0.000 0.000
Os1 0.000 0.500 0.329
Br1 0.000 0.000 0.653
Br2 0.000 0.500 0.842
```

Energy relative to the elements, uncorrected: 2.6 eV/f.u.
E above lowest polymorph: 0.4696 eV/atom
N(E_F): 0.716 states/eV per atom

# 11
Here is an optimized crystal structure of K2VAgSe4 from Alexandria via LeMat-Bulk. Energies are from PBE-GGA.

```
data_K2VAgSe4
_symmetry_space_group_name_H-M 'F d d d'
_symmetry_Int_Tables_number 70
_cell_length_a 6.017
_cell_length_b 13.595
_cell_length_c 23.489
_cell_angle_alpha 90.00
_cell_angle_beta 90.00
_cell_angle_gamma 90.00
loop_
_symmetry_equiv_pos_as_xyz
'x,y,z'
'-x,-y,-z'
'-x+1/4,-y+1/4,z'
'x+1/4,y+1/4,-z'
'x,-y+1/4,-z+1/4'
'-x,y+1/4,z+1/4'
'-x+1/4,y,-z+1/4'
'x+1/4,-y,z+1/4'
'x,y+1/2,z+1/2'
'-x,-y+1/2,-z+1/2'
'-x+1/4,-y+3/4,z+1/2'
'x+1/4,y+3/4,-z+1/2'
'x,-y+3/4,-z+3/4'
'-x,y+3/4,z+3/4'
'-x+1/4,y+1/2,-z+3/4'
'x+1/4,-y+1/2,z+3/4'
'x+1/2,y,z+1/2'
'-x+1/2,-y,-z+1/2'
'-x+3/4,-y+1/4,z+1/2'
'x+3/4,y+1/4,-z+1/2'
'x+1/2,-y+1/4,-z+3/4'
'-x+1/2,y+1/4,z+3/4'
'-x+3/4,y,-z+3/4'
'x+3/4,-y,z+3/4'
'x+1/2,y+1/2,z'
'-x+1/2,-y+1/2,-z'
'-x+3/4,-y+3/4,z'
'x+3/4,y+3/4,-z'
'x+1/2,-y+3/4,-z+1/4'
'-x+1/2,y+3/4,z+1/4'
'-x+3/4,y+1/2,-z+1/4'
'x+3/4,-y+1/2,z+1/4'
loop_
_atom_site_label
_atom_site_fract_x
_atom_site_fract_y
_atom_site_fract_z
K1 0.125 0.125 0.307
V1 0.125 0.125 0.125
Ag1 0.125 0.125 0.625
Se1 0.083 0.272 0.434
```

Energy relative to the elements, uncorrected: -6.9 eV/f.u.
E above lowest polymorph: 0.0000 eV/atom

# 12
Here is an optimized crystal structure of Ac8Co3CuI4 from Alexandria via LeMat-Bulk. Energies are from PBE-GGA.

```
data_Ac8Co3CuI4
_symmetry_space_group_name_H-M 'C 1 2/m 1'
_symmetry_Int_Tables_number 12
_symmetry_space_group_name_Hall '-C 2y'
_cell_length_a 14.991
_cell_length_b 8.674
_cell_length_c 9.957
_cell_angle_alpha 90.00
_cell_angle_beta 120.13
_cell_angle_gamma 90.00
loop_
_atom_site_label
_atom_site_fract_x
_atom_site_fract_y
_atom_site_fract_z
Ac1 0.026 0.240 0.318
Ac2 0.227 0.000 0.683
Ac3 0.233 0.500 0.681
Co1 0.000 0.000 0.500
Co2 0.250 0.250 0.500
Cu1 0.000 0.500 0.500
I1 0.000 0.000 0.000
I2 0.000 0.500 0.000
I3 0.250 0.250 0.000
```

Energy relative to the elements, uncorrected: -9.8 eV/f.u.
N(E_F): 0.537 states/eV per atom

# 13
Here is an optimized crystal structure of CaDy4Te6 from Alexandria via LeMat-Bulk. Energies are from PBE-GGA.

```
data_CaDy4Te6
_symmetry_space_group_name_H-M 'C m c m'
_symmetry_Int_Tables_number 63
_symmetry_space_group_name_Hall '-C 2c 2'
_cell_length_a 4.332
_cell_length_b 14.308
_cell_length_c 22.476
_cell_angle_alpha 90.00
_cell_angle_beta 90.00
_cell_angle_gamma 90.00
loop_
_atom_site_label
_atom_site_fract_x
_atom_site_fract_y
_atom_site_fract_z
Ca1 0.000 0.159 0.250
Dy1 0.000 0.089 0.628
Dy2 0.000 0.359 0.537
Te1 0.000 0.000 0.000
Te2 0.000 0.181 0.750
Te3 0.000 0.269 0.089
Te4 0.000 0.449 0.663
```

Energy relative to the elements, uncorrected: -15.4 eV/f.u.
N(E_F): 0.335 states/eV per atom

# 14
Here is an optimized crystal structure of Ta3TiMo2 from Alexandria via LeMat-Bulk. Energies are from PBE-GGA.

```
data_Ta3TiMo2
_symmetry_space_group_name_H-M 'P 4/m m m'
_symmetry_Int_Tables_number 123
_symmetry_space_group_name_Hall '-P 4 2'
_cell_length_a 3.238
_cell_length_b 3.238
_cell_length_c 9.794
_cell_angle_alpha 90.00
_cell_angle_beta 90.00
_cell_angle_gamma 90.00
loop_
_atom_site_label
_atom_site_fract_x
_atom_site_fract_y
_atom_site_fract_z
Ta1 0.000 0.000 0.000
Ta2 0.000 0.000 0.324
Ti1 0.500 0.500 0.500
Mo1 0.500 0.500 0.167
```

E above lowest polymorph: 0.0000 eV/atom
N(E_F): 1.156 states/eV per atom
Formation enthalpy at 0 K: -0.677 eV/f.u.

# 15
Here is an optimized crystal structure of SrLiMg2Pt from Alexandria via LeMat-Bulk. Energies are from PBE-GGA.

```
data_SrLiMg2Pt
_symmetry_space_group_name_H-M 'P 4/m m m'
_symmetry_Int_Tables_number 123
_symmetry_space_group_name_Hall '-P 4 2'
_cell_length_a 5.089
_cell_length_b 5.089
_cell_length_c 5.052
_cell_angle_alpha 90.00
_cell_angle_beta 90.00
_cell_angle_gamma 90.00
loop_
_atom_site_label
_atom_site_fract_x
_atom_site_fract_y
_atom_site_fract_z
Sr1 0.000 0.000 0.000
Li1 0.500 0.500 0.000
Mg1 0.000 0.500 0.500
Pt1 0.500 0.500 0.500
```

N(E_F): 0.382 states/eV per atom
Formation enthalpy at 0 K: -1.797 eV/f.u.

# 16
Here is an optimized crystal structure of SmEr2PaP4 from Alexandria via LeMat-Bulk. Energies are from PBE-GGA.

```
data_SmEr2PaP4
_symmetry_space_group_name_H-M 'P 1 2/m 1'
_symmetry_Int_Tables_number 10
_symmetry_space_group_name_Hall '-P 2y'
_cell_length_a 6.894
_cell_length_b 4.004
_cell_length_c 6.933
_cell_angle_alpha 90.00
_cell_angle_beta 109.49
_cell_angle_gamma 90.00
loop_
_atom_site_label
_atom_site_fract_x
_atom_site_fract_y
_atom_site_fract_z
Sm1 0.000 0.000 0.000
Er1 0.500 0.000 0.500
Er2 0.500 0.500 0.000
Pa1 0.000 0.500 0.500
P1 0.251 0.000 0.745
P2 0.253 0.500 0.259
```

N(E_F): 0.602 states/eV per atom
Formation enthalpy at 0 K: -12.225 eV/f.u.

# 17
Here is an optimized crystal structure of NaAg2F8 from Alexandria via LeMat-Bulk. Energies are from PBE-GGA.

```
data_NaAg2F8
_symmetry_space_group_name_H-M 'I 4 2 2'
_symmetry_Int_Tables_number 97
_symmetry_space_group_name_Hall 'I 4 2'
_cell_length_a 5.532
_cell_length_b 5.532
_cell_length_c 10.880
_cell_angle_alpha 90.00
_cell_angle_beta 90.00
_cell_angle_gamma 90.00
loop_
_atom_site_label
_atom_site_fract_x
_atom_site_fract_y
_atom_site_fract_z
Na1 0.000 0.000 0.000
Ag1 0.000 0.500 0.250
F1 0.178 0.315 0.873
```

Energy relative to the elements, uncorrected: -13.6 eV/f.u.
N(E_F): 1.334 states/eV per atom

# 18
Here is an optimized crystal structure of Ba3Al2As4 from Alexandria via LeMat-Bulk. Energies are from PBE-GGA.

```
data_Ba3Al2As4
_symmetry_space_group_name_H-M 'P n m a'
_symmetry_Int_Tables_number 62
_symmetry_space_group_name_Hall '-P 2ac 2n'
_cell_length_a 7.563
_cell_length_b 11.971
_cell_length_c 11.992
_cell_angle_alpha 90.00
_cell_angle_beta 90.00
_cell_angle_gamma 90.00
loop_
_atom_site_label
_atom_site_fract_x
_atom_site_fract_y
_atom_site_fract_z
Ba1 0.081 0.078 0.139
Ba2 0.094 0.250 0.762
Al1 0.059 0.125 0.463
As1 0.092 0.750 0.674
As2 0.159 0.559 0.387
As3 0.187 0.750 0.028
```

E above lowest polymorph: 0.0000 eV/atom
Formation enthalpy at 0 K: -8.631 eV/f.u.

# 19
Here is an optimized crystal structure of Mn2SbAs from Alexandria via LeMat-Bulk. Energies are from PBE-GGA.

```
data_Mn2SbAs
_symmetry_space_group_name_H-M 'I -4 2 d'
_symmetry_Int_Tables_number 122
_symmetry_space_group_name_Hall 'I -4 2bw'
_cell_length_a 6.568
_cell_length_b 6.568
_cell_length_c 8.804
_cell_angle_alpha 90.00
_cell_angle_beta 90.00
_cell_angle_gamma 90.00
loop_
_atom_site_label
_atom_site_fract_x
_atom_site_fract_y
_atom_site_fract_z
Mn1 0.222 0.250 0.125
Sb1 0.000 0.000 0.500
As1 0.000 0.000 0.000
```

Energy relative to the elements, uncorrected: 1.1 eV/f.u.
N(E_F): 0.956 states/eV per atom

# 20
Here is an optimized crystal structure of TiVReRu from Alexandria via LeMat-Bulk. Energies are from PBE-GGA.

```
data_TiVReRu
_symmetry_space_group_name_H-M 'F -4 3 m'
_symmetry_Int_Tables_number 216
_symmetry_space_group_name_Hall 'F -4 2 3'
_cell_length_a 6.121
_cell_length_b 6.121
_cell_length_c 6.121
_cell_angle_alpha 90.00
_cell_angle_beta 90.00
_cell_angle_gamma 90.00
loop_
_atom_site_label
_atom_site_fract_x
_atom_site_fract_y
_atom_site_fract_z
Ti1 0.000 0.000 0.000
V1 0.000 0.000 0.500
Re1 0.250 0.250 0.750
Ru1 0.250 0.250 0.250
```

E above lowest polymorph: 0.0223 eV/atom
N(E_F): 0.441 states/eV per atom
Formation enthalpy at 0 K: -1.863 eV/f.u.